A plane-wave DFT calculation with meta-GGA SCAN was carried out for a PBEsol-optimized structure of ZrCu2Pb.

Values from the calculation:
Its formation energy is 0.27 eV/atom.

abc: 3.3022 3.3022 8.4514
angles: 78.73 78.73 60.00
Positions (direct):
Cu 0.2550 0.2550 0.2351
Cu 0.7450 0.7450 0.7649
Zr 0.0000 0.0000 0.0000
Pb 0.5000 0.5000 0.5000

---

A plane-wave DFT calculation with meta-GGA SCAN was carried out for a PBEsol-optimized structure of MnBeAu2.

Values from the calculation:
Its formation energy is -0.27 eV/atom.

abc: 3.2074 4.2169 4.2169
angles: 90.00 90.00 90.00
Positions (direct):
Au 0.0000 0.0000 0.5000
Au 0.0000 0.5000 0.0000
Mn 0.5000 0.0000 0.0000
Be 0.5000 0.5000 0.5000

---

A plane-wave DFT calculation with meta-GGA SCAN was carried out for a PBEsol-optimized structure of LiZnPt2.

Values from the calculation:
Its formation energy is -0.60 eV/atom.

abc: 2.7566 4.4943 5.0163
angles: 112.07 105.95 90.00
Positions (direct):
Li 0.2550 0.8355 0.5100
Pt 0.0042 0.9144 0.0083
Pt 0.7490 0.3405 0.4979
Zn 0.4919 0.4097 0.9838

---

A plane-wave DFT calculation with meta-GGA SCAN was carried out for a PBEsol-optimized structure of Ti3TeIr.

Values from the calculation:
The energy relative to the elements, uncorrected comes out at -0.089 eV per atom.

abc: 4.7394 4.7394 4.7394
angles: 90.00 90.00 90.00
Positions (direct):
Ti 0.5000 0.0000 0.0000
Te 0.5000 0.5000 0.5000
Ti 0.0000 0.5000 0.0000
Ti 0.0000 0.0000 0.5000
Ir 0.0000 0.0000 0.0000

---

Quick rundown of E, same order as above: -135.79; -162.01; -158.70; -156.89 eV/f.u.